Entry 1:
A geometry-optimized ErB3Rh6 structure, computed with PBE.

As for the total magnetization: 0.00 μB/f.u. The value obtained for the energy is -219.480 eV per cell. The formation energy is -0.446 eV/atom. The value obtained for the density is 10.210 Mg/m³. For the calculated volume, the calculation gives 398.7 Å³ per cell.

The space group is R3 (No. 146, hexagonal axes) and the conventional cell measures 5.4389, 5.4389 and 15.5623 Å, with angles of 90.00, 90.00 and 120.00 degrees. The asymmetric unit holds Er at (0.0000, 0.0000, 0.0000), B at (0.0000, 0.0000, 0.1720), B at (0.0000, 0.0000, 0.3723), B at (0.0000, 0.0000, 0.7061), Rh at (0.0000, 0.5081, 0.9429) and Rh at (0.0014, 0.4122, 0.1253).

Entry 2:
A geometry-optimized ErB2Rh5 structure, computed with PBE.

As for the total magnetization: 0.00 μB/f.u. The value obtained for the energy is -117.044 eV per cell. The formation energy is -0.481 eV/atom. The value obtained for the density is 10.612 Mg/m³. For the calculated volume, the calculation gives 220.1 Å³ per cell.

The space group is Immm (No. 71) and the conventional cell measures 3.848, 5.790 and 9.881 Å, with angles of 90.00, 90.00 and 90.00 degrees. The asymmetric unit holds Er at (0.000, 0.000, 0.000), B at (0.000, 0.500, 0.211), Rh at (0.000, 0.227, 0.350) and Rh at (0.000, 0.500, 0.000).

Entry 3:
A geometry-optimized Er2B6Rh9 structure, computed with PBE.

As for the total magnetization: 0.00 μB/f.u. The value obtained for the energy is -126.202 eV per cell. The formation energy is -0.638 eV/atom. The value obtained for the density is 9.469 Mg/m³. For the calculated volume, the calculation gives 232.5 Å³ per cell.

The space group is P6/mmm (No. 191) and the conventional cell measures 5.5949, 5.5949 and 8.5747 Å, with angles of 90.00, 90.00 and 120.00 degrees. The asymmetric unit holds Er at (0.0000, 0.0000, 0.2056), B at (0.3333, 0.6667, 0.1674), B at (0.3333, 0.6667, 0.5000), Rh at (0.0000, 0.5000, 0.0000) and Rh at (0.0000, 0.5000, 0.3355).

Entry 4:
A geometry-optimized Er2B7Rh12 structure, computed with PBE.

As for the total magnetization: 0.00 μB/f.u. The value obtained for the energy is -153.954 eV per cell. The formation energy is -0.470 eV/atom. The value obtained for the density is 10.292 Mg/m³. For the calculated volume, the calculation gives 265.4 Å³ per cell.

The space group is P-3 (No. 147) and the conventional cell measures 8.8152, 8.8152 and 3.9441 Å, with angles of 90.00, 90.00 and 120.00 degrees. The asymmetric unit holds Er at (0.3333, 0.6667, 0.2472), B at (0.0000, 0.0000, 0.0000), B at (0.1103, 0.4041, 0.7447), Rh at (0.0672, 0.6214, 0.7493) and Rh at (0.0993, 0.8520, 0.2467).

Q: The highest energy belongs to which entry?
A: ErB2Rh5

Q: The lowest energy belongs to which entry?
A: ErB3Rh6

What did the fourth record say?
A geometry-optimized Er2B7Rh12 structure, computed with PBE.

As for the total magnetization: 0.00 μB/f.u. The value obtained for the energy is -153.954 eV per cell. The formation energy is -0.470 eV/atom. The value obtained for the density is 10.292 Mg/m³. For the calculated volume, the calculation gives 265.4 Å³ per cell.

The space group is P-3 (No. 147) and the conventional cell measures 8.8152, 8.8152 and 3.9441 Å, with angles of 90.00, 90.00 and 120.00 degrees. The asymmetric unit holds Er at (0.3333, 0.6667, 0.2472), B at (0.0000, 0.0000, 0.0000), B at (0.1103, 0.4041, 0.7447), Rh at (0.0672, 0.6214, 0.7493) and Rh at (0.0993, 0.8520, 0.2467).